Entry 1:
Compound: Be2AgC
Source: Alexandria via LeMat-Bulk
Functional: PBE
Structure: relaxed

Fermi-level density of states: 0.778 states/eV per atom
Uncorrected energy: -34.7 eV/cell

Unit cell a=5.325 b=5.325 c=5.412 alpha=60.53 beta=60.53 gamma=90.00
Positions (direct):
Be (0.368, 0.125, 0.250)
Be (0.382, 0.625, 0.250)
Be (0.375, 0.632, 0.750)
Be (0.875, 0.618, 0.750)
C (0.500, 0.500, 0.000)
C (0.250, 0.750, 0.500)
Ag (0.000, 0.000, 0.000)
Ag (0.750, 0.250, 0.500)

Entry 2:
Compound: Be3AgC
Source: Alexandria via LeMat-Bulk
Functional: PBE
Structure: relaxed

Fermi-level density of states: 0.314 states/eV per atom
Uncorrected energy: -21.5 eV/cell

Unit cell a=3.673 b=3.673 c=3.673 alpha=90.00 beta=90.00 gamma=90.00
Positions (direct):
Be (0.000, 0.500, 0.000)
Be (0.000, 0.000, 0.500)
Be (0.500, 0.000, 0.000)
C (0.000, 0.000, 0.000)
Ag (0.500, 0.500, 0.500)

Entry 3:
Compound: BeAg2C
Source: Alexandria via LeMat-Bulk
Functional: PBE
Structure: relaxed

Fermi-level density of states: 0.642 states/eV per atom
Uncorrected energy: -13.3 eV/cell

Unit cell a=4.155 b=4.155 c=4.155 alpha=60.00 beta=60.00 gamma=60.00
Positions (direct):
Be (0.000, 0.000, 0.000)
C (0.500, 0.500, 0.500)
Ag (0.250, 0.250, 0.250)
Ag (0.750, 0.750, 0.750)

Entry 4:
Compound: Be3AgC
Source: Alexandria via LeMat-Bulk
Functional: PBE
Structure: relaxed

Fermi-level density of states: 0.539 states/eV per atom
Uncorrected energy: -12.9 eV/cell

Unit cell a=4.248 b=4.248 c=4.248 alpha=90.00 beta=90.00 gamma=90.00
Positions (direct):
Be (0.000, 0.500, 0.000)
Be (0.000, 0.000, 0.500)
Be (0.500, 0.000, 0.000)
C (0.500, 0.500, 0.500)
Ag (0.000, 0.000, 0.000)

Entry 5:
Compound: BeAgC3
Source: Alexandria via LeMat-Bulk
Functional: PBE
Structure: relaxed

Fermi-level density of states: 0.399 states/eV per atom
Uncorrected energy: -22.1 eV/cell

Unit cell a=3.683 b=3.683 c=3.683 alpha=90.00 beta=90.00 gamma=90.00
Positions (direct):
Be (0.000, 0.000, 0.000)
C (0.000, 0.500, 0.000)
C (0.000, 0.000, 0.500)
C (0.500, 0.000, 0.000)
Ag (0.500, 0.500, 0.500)

Entry 6:
Compound: CsBeAgC2
Source: Alexandria via LeMat-Bulk
Functional: PBE
Structure: relaxed

Fermi-level density of states: 0.640 states/eV per atom
Uncorrected energy: -8.2 eV/cell

Unit cell a=4.550 b=5.063 c=4.550 alpha=90.00 beta=90.00 gamma=90.00
Positions (direct):
Cs (0.000, 0.000, 0.000)
Be (0.000, 0.500, 0.000)
C (0.000, 0.000, 0.500)
C (0.500, 0.000, 0.000)
Ag (0.500, 0.500, 0.500)

Entry 7:
Compound: BeAgC2I
Source: Alexandria via LeMat-Bulk
Functional: PBE
Structure: relaxed

Fermi-level density of states: 0.465 states/eV per atom
Formation energy without anion corrections: 2.830 eV/atom
Uncorrected energy: -12.4 eV/cell

Unit cell a=4.285 b=4.627 c=4.285 alpha=90.00 beta=90.00 gamma=90.00
Positions (direct):
I (0.000, 0.000, 0.000)
Be (0.000, 0.500, 0.000)
C (0.000, 0.000, 0.500)
C (0.500, 0.000, 0.000)
Ag (0.500, 0.500, 0.500)

Entry 8:
Compound: La2BeAgC
Source: Alexandria via LeMat-Bulk
Functional: PBE
Structure: relaxed

Fermi-level density of states: 0.944 states/eV per atom
Uncorrected energy: -26.3 eV/cell

Unit cell a=5.475 b=5.475 c=3.495 alpha=90.00 beta=90.00 gamma=90.00
Positions (direct):
Be (0.000, 0.000, 0.500)
C (0.000, 0.000, 0.000)
Ag (0.500, 0.500, 0.500)
La (0.000, 0.500, 0.000)
La (0.500, 0.000, 0.000)